# 1
The following is a DFT calculation (GGA-PBE) of AcSiAu2 after structural relaxation.

Summary:
ΔE_f (raw) in meV/atom: -223
Size of the total moment in μB/f.u.: 0.00

Lattice parameters (Å, degrees): 3.819 3.819 6.563 90.00 90.00 90.00
Fractional positions:
Au 0.000 0.000 0.215
Au 0.000 0.000 0.785
Si 0.500 0.500 0.000
Ac 0.500 0.500 0.500


# 2
The following is a DFT calculation (GGA-PBE) of LaSm2ErTm2 after structural relaxation.

Summary:
Size of the total moment in μB/f.u.: 0.00
Energy of formation in eV per atom: 0.160

Lattice parameters (Å, degrees): 3.527 16.213 6.949 90.00 90.00 90.00
Fractional positions:
Er 0.500 0.500 0.000
Er 0.000 0.000 0.500
Sm 0.500 0.839 0.254
Sm 0.500 0.161 0.746
Sm 0.000 0.661 0.754
Sm 0.000 0.339 0.246
La 0.500 0.500 0.500
La 0.000 0.000 0.000
Tm 0.500 0.153 0.249
Tm 0.000 0.347 0.749
Tm 0.000 0.653 0.251
Tm 0.500 0.847 0.751


# 3
The following is a DFT calculation (GGA-PBE) of CoTcAs2 after structural relaxation.

Summary:
ΔE to the lowest computed polymorph in eV/atom: 0.3134
Size of the total moment in μB/f.u.: 0.00
Energy of formation in eV per atom: 0.237

Lattice parameters (Å, degrees): 5.424 5.424 6.546 65.52 65.52 90.00
Fractional positions:
Co 0.500 0.500 0.000
Co 0.250 0.750 0.500
As 0.375 0.395 0.750
As 0.145 0.625 0.250
As 0.875 0.855 0.750
As 0.605 0.125 0.250
Tc 0.000 0.000 0.000
Tc 0.750 0.250 0.500


# 4
The following is a DFT calculation (GGA-PBE) of ThMgGaPd after structural relaxation.

Summary:
Size of the total moment in μB/f.u.: 0.00
Energy of formation in eV per atom: -0.557

Lattice parameters (Å, degrees): 4.951 4.951 4.951 60.00 60.00 60.00
Fractional positions:
Pd 0.750 0.750 0.750
Ga 0.250 0.250 0.250
Mg 0.000 0.000 0.000
Th 0.500 0.500 0.500


Look up the size of the total moment of the first one.
0.00 μB/f.u.